Entry from Alexandria via LeMat-Bulk: a relaxed Ba2GaSnS5 crystal (PBE).

Values from the calculation:
- VASP energy: -85.35 eV for the cell shown

Unit cell a=4.1130 b=9.4820 c=12.6751 alpha=90.00 beta=90.00 gamma=102.53
Last column: nearest neighbours and their distance in Å.
Positions (direct):
Ba (0.8743, 0.7487, 0.8129)  6 S 3.15-3.22
Ba (0.1149, 0.2298, 0.6834)  7 S 3.17-3.48
Ba (0.1257, 0.2513, 0.3129)  6 S 3.15-3.22
Ba (0.8851, 0.7702, 0.1834)  7 S 3.17-3.48
Ga (0.5630, 0.1260, 0.9375)  4 S 2.26-2.42
Ga (0.4370, 0.8740, 0.4375)  4 S 2.26-2.42
Sn (0.7868, 0.5735, 0.5260)  5 S 2.54-2.82
Sn (0.2132, 0.4265, 0.0260)  5 S 2.54-2.82
S (0.3495, 0.6990, 0.0007)  1 Sn 2.54
S (0.6839, 0.3677, 0.8803)  1 Ga 2.35
S (0.5017, 0.0035, 0.7835)  1 Ga 2.26
S (0.2874, 0.5748, 0.6646)  2 Sn 2.70
S (0.9522, 0.9043, 0.5351)  2 Ga 2.42
S (0.6505, 0.3010, 0.5007)  1 Sn 2.54
S (0.3161, 0.6323, 0.3803)  1 Ga 2.35
S (0.4983, 0.9965, 0.2835)  1 Ga 2.26
S (0.7126, 0.4252, 0.1646)  2 Sn 2.70
S (0.0478, 0.0957, 0.0351)  2 Ga 2.42

Entry from Alexandria via LeMat-Bulk: a relaxed Sc4Tl2CdPt crystal (PBE).

Values from the calculation:
- Formation energy from the elements: -0.51 eV per atom

Unit cell a=4.9769 b=4.9769 c=8.5376 alpha=73.05 beta=73.05 gamma=60.00
Last column: nearest neighbours and their distance in Å.
Positions (direct):
Sc (0.3855, 0.3855, 0.8436)  1 Pt 2.76, 4 Tl 2.93-3.08
Sc (0.8684, 0.8684, 0.3948)  3 Pt 3.00, 4 Tl 3.04-3.17, 1 Cd 3.17, 3 Sc 3.33
Sc (0.1316, 0.1316, 0.6052)  3 Pt 3.00, 4 Tl 3.04-3.17, 1 Cd 3.17, 3 Sc 3.33
Sc (0.6145, 0.6145, 0.1564)  1 Pt 2.76, 4 Tl 2.93-3.08
Tl (0.7424, 0.7424, 0.7727)  8 Sc 2.93-3.17
Tl (0.2576, 0.2576, 0.2273)  8 Sc 2.93-3.17
Cd (0.0000, 0.0000, 0.0000)  8 Sc 3.14-3.17, 6 Tl 3.41
Pt (0.5000, 0.5000, 0.5000)  8 Sc 2.76-3.00

What did the second record say?
Entry from Alexandria via LeMat-Bulk: a relaxed Sc4Tl2CdPt crystal (PBE).

Values from the calculation:
- Formation energy from the elements: -0.51 eV per atom

Unit cell a=4.9769 b=4.9769 c=8.5376 alpha=73.05 beta=73.05 gamma=60.00
Last column: nearest neighbours and their distance in Å.
Positions (direct):
Sc (0.3855, 0.3855, 0.8436)  1 Pt 2.76, 4 Tl 2.93-3.08
Sc (0.8684, 0.8684, 0.3948)  3 Pt 3.00, 4 Tl 3.04-3.17, 1 Cd 3.17, 3 Sc 3.33
Sc (0.1316, 0.1316, 0.6052)  3 Pt 3.00, 4 Tl 3.04-3.17, 1 Cd 3.17, 3 Sc 3.33
Sc (0.6145, 0.6145, 0.1564)  1 Pt 2.76, 4 Tl 2.93-3.08
Tl (0.7424, 0.7424, 0.7727)  8 Sc 2.93-3.17
Tl (0.2576, 0.2576, 0.2273)  8 Sc 2.93-3.17
Cd (0.0000, 0.0000, 0.0000)  8 Sc 3.14-3.17, 6 Tl 3.41
Pt (0.5000, 0.5000, 0.5000)  8 Sc 2.76-3.00

Q: What is the formula in the second record?
A: Sc4Tl2CdPt